Entry 1:
The following is a DFT calculation (PBE) of a relaxed ScZnPt2 crystal.

Cell lengths 4.3156, 4.3156, 8.6120 Å; angles 90.00, 90.00, 120.00 degrees
Space group P6_3/mmc (No. 194)
One atom of each set of equivalent atoms:
1 Sc 0.3333 0.6667 0.2500
2 Zn 0.0000 0.0000 0.0000
3 Pt 0.3333 0.6667 0.5898

Properties
DFT total energy (eV for the cell shown): -46.78
Crystal system: hexagonal
ΔE_f (eV/f.u.): -3.69

Entry 2:
The following is a DFT calculation (PBE) of a relaxed ScZnPt2 crystal.

Cell lengths 6.414, 6.414, 6.414 Å; angles 90.00, 90.00, 90.00 degrees
Space group F-43m (No. 216)
One atom of each set of equivalent atoms:
1 Sc 0.000 0.000 0.000
2 Zn 0.250 0.250 0.750
3 Pt 0.000 0.000 0.500
4 Pt 0.250 0.250 0.250

Properties
DFT total energy (eV for the cell shown): -90.00
Crystal system: cubic
ΔE_f (eV/f.u.): -2.80